Material: Li2Pm2PrGa2
Method: DFT, PBE
State: optimized geometry

Cell: 9.308 9.308 9.308 Å, 29.37 29.37 29.37°
Atoms (fractional coordinates):
Li 0.102 0.102 0.102
Li 0.898 0.898 0.898
Pm 0.373 0.373 0.373
Pm 0.627 0.627 0.627
Pr 0.500 0.500 0.500
Ga 0.239 0.239 0.239
Ga 0.761 0.761 0.761

Results
Space-group type   R-3m, No. 166
DFT formation energy   -0.288 eV per atom

Material: NdDyAlIn
Method: DFT, PBE
State: optimized geometry

Cell: 3.727 3.727 7.553 Å, 90.00 90.00 90.00°
Atoms (fractional coordinates):
Nd 0.000 0.000 0.000
Dy 0.000 0.000 0.479
Al 0.500 0.500 0.252
In 0.500 0.500 0.726

Results
E above lowest polymorph   0.0 meV per atom
Space-group type   P4mm, No. 99
DFT formation energy   -0.424 eV per atom

Material: Os
Method: DFT, PBE
State: optimized geometry

Cell: 7.396 7.396 7.396 Å, 93.98 93.98 149.44°
Atoms (fractional coordinates):
Os 0.106 0.308 0.414
Os 0.128 0.731 0.859
Os 0.269 0.128 0.397
Os 0.308 0.894 0.203
Os 0.692 0.106 0.797
Os 0.731 0.872 0.603
Os 0.872 0.269 0.141
Os 0.894 0.692 0.586

Results
E above lowest polymorph   1536.0 meV per atom
Space-group type   I4/m, No. 87
DFT formation energy   1.536 eV per atom